(1)
4
Lattice="7.2159 0.0018 0.0000 4.0490 5.9728 0.0000 -5.6324 -2.9873 3.3794" Properties=species:S:1:pos:R:3 comment="PBE K2YPb, optimized geometry" crystal_system=tetragonal delta_e_f_ev_per_atom=0.074 pbc="T T T"
Y 3.6079 0.0009 1.6897
K 5.6324 2.9873 0.0000
Pb 2.0245 2.9864 1.6897
K 0.0000 0.0000 0.0000



(2)
12
Lattice="-3.3036 -1.1997 -6.8367 3.7956 -5.7022 3.4888 -6.5475 0.1683 4.5751" Properties=species:S:1:pos:R:3 comment="PBE Na3Tb2YTe6, optimized geometry" crystal_system=monoclinic formation_energy_uncorrected_ev_per_atom=-1.33 pbc="T T T"
Te -3.4708 -5.8385 2.6963
Te -4.8974 -1.6306 2.6561
Te -0.2231 -2.3929 1.9658
Na -5.3914 -1.8677 -2.8242
Te -1.1581 -5.1030 -1.4290
Tb -0.9366 -2.7009 -3.3940
Na -0.6641 -4.8659 4.0514
Te -5.8324 -4.3407 -0.7386
Te -2.5847 -0.8951 -1.4691
Tb 1.4286 -4.2010 0.0461
Na -3.0278 -3.3668 0.6136
Y 0.0000 0.0000 0.0000



(3)
4
Lattice="-2.8769 0.2002 -0.0177 -1.5302 -1.0210 2.2210 -1.0431 6.1351 3.9740" Properties=species:S:1:pos:R:3 comment="PBE ReMo2N, optimized geometry" crystal_system=trigonal formation_energy_uncorrected_ev_per_atom=-0.09 pbc="T T T"
Mo -1.1239 4.9196 3.3596
N -2.9375 -0.5379 1.4736
Re -2.7256 2.6498 3.0849
Mo -1.3884 0.9400 1.3479



(4)
4
Lattice="-3.4703 -0.3380 -2.8995 -1.2644 -4.0664 -1.5588 -3.9200 -1.8306 1.3589" Properties=species:S:1:pos:R:3 comment="PBE LiHfZrFe, optimized geometry" crystal_system=cubic delta_e_f_ev_per_atom=-0.049 pbc="T T T"
Zr -6.4910 -4.6763 -2.3245
Hf -2.1637 -1.5588 -0.7748
Li 0.0000 0.0000 0.0000
Fe -4.3273 -3.1175 -1.5497



(5)
8
Lattice="4.2175 0.0000 0.0000 0.0000 4.2175 0.0000 2.1087 2.1087 10.0153" Properties=species:S:1:pos:R:3 comment="PBE Sc2NbCd, optimized geometry" crystal_system=tetragonal delta_e_f_ev_per_atom=0.455 pbc="T T T"
Nb 2.1087 2.1087 0.0000
Sc 5.2718 5.2317 7.5115
Sc 3.1631 3.2033 7.5115
Sc 1.0945 3.1631 2.5038
Cd 4.2175 2.1087 5.0076
Cd 0.0000 0.0000 0.0000
Sc 3.1229 1.0544 2.5038
Nb 2.1087 4.2175 5.0076



(6)
12
Lattice="4.3007 0.0000 0.0000 -2.1504 7.6471 -0.8297 0.0000 -4.1672 8.5258" Properties=species:S:1:pos:R:3 comment="PBE PmAg3Hg2, optimized geometry" crystal_system=monoclinic delta_e_f_ev_per_atom=-0.167 pbc="T T T"
Ag 2.1504 -1.6006 5.6359
Hg 0.0000 0.2119 6.3635
Hg 2.1504 3.2681 1.3325
Ag 0.0000 -0.7243 3.5844
Ag 0.0000 2.1865 3.0145
Pm 0.0000 -2.3239 8.1142
Pm 2.1504 5.8039 -0.4182
Ag 2.1504 4.2042 4.1117
Hg 2.1504 0.2230 1.7386
Ag 2.1504 1.2934 4.6816
Ag 0.0000 5.0805 2.0601
Hg 0.0000 3.2569 5.9575